VASP calculation (PBE-GGA) on a geometry-optimized La2HfRh structure.

Values from the calculation:
Energy relative to the elements = 5.5 kJ/mol of atoms
Magnetic moment = 0.00 Bohr magnetons per cell
DOS(E_F) = 20.71 states/eV per cell
Crystal system = tetragonal
DFT total energy = -6.733 eV per atom

Cell lengths 8.381, 8.381, 6.215 Å; angles 90.00, 90.00, 90.00 degrees
Space group I-42d (No. 122)
Unique sites:
La: 0.195 0.250 0.125 x8
Hf: 0.000 0.000 0.500 x4
Rh: 0.000 0.000 0.000 x4